Record 1
Mg2TcAg: optimized geometry, PBE.

CIF file:
```
data_Mg2TcAg
_cell_length_a 4.213
_cell_length_b 4.213
_cell_length_c 3.823
_cell_angle_alpha 90.00
_cell_angle_beta 90.00
_cell_angle_gamma 90.00
_space_group_name_H-M_alt 'P 4/m m m'
_space_group_IT_number 123
_space_group_name_Hall '-P 4 2'
loop_
_atom_site_label
_atom_site_type_symbol
_atom_site_fract_x
_atom_site_fract_y
_atom_site_fract_z
_atom_site_occupancy
Mg1 Mg 0.000 0.500 0.000 1
Tc1 Tc 0.000 0.000 0.500 1
Ag1 Ag 0.500 0.500 0.500 1
```

Uncorrected energy, eV/atom: -3.95
Excess energy over the best structure of this formula in the dataset, eV per formula unit: 0.26

***

Record 2
Ba2OsCl: optimized geometry, PBE.

CIF file:
```
data_Ba2OsCl
_cell_length_a 5.326
_cell_length_b 3.720
_cell_length_c 11.975
_cell_angle_alpha 90.00
_cell_angle_beta 90.00
_cell_angle_gamma 90.00
_space_group_name_H-M_alt 'A m m 2'
_space_group_IT_number 38
_space_group_name_Hall 'A 2 -2'
loop_
_atom_site_label
_atom_site_type_symbol
_atom_site_fract_x
_atom_site_fract_y
_atom_site_fract_z
_atom_site_occupancy
Ba1 Ba 0.000 0.000 0.000 1
Ba2 Ba 0.500 0.000 0.250 1
Os1 Os 0.500 0.000 0.500 1
Cl1 Cl 0.000 0.000 0.739 1
```

Uncorrected energy, eV/atom: -4.50
ΔE_f (raw), eV/atom: -0.2667
Excess energy over the best structure of this formula in the dataset, eV per formula unit: 0.30

***

Record 3
CsInReO6: optimized geometry, PBE.

CIF file:
```
data_CsInReO6
_cell_length_a 5.666
_cell_length_b 9.871
_cell_length_c 6.357
_cell_angle_alpha 90.00
_cell_angle_beta 90.08
_cell_angle_gamma 90.00
_space_group_name_H-M_alt 'C 1 2 1'
_space_group_IT_number 5
_space_group_name_Hall 'C 2y'
loop_
_atom_site_label
_atom_site_type_symbol
_atom_site_fract_x
_atom_site_fract_y
_atom_site_fract_z
_atom_site_occupancy
Cs1 Cs 0.000 0.000 0.000 1
In1 In 0.000 0.677 0.500 1
Re1 Re 0.000 0.324 0.500 1
O1 O 0.096 0.487 0.653 1
O2 O 0.177 0.219 0.685 1
O3 O 0.237 0.803 0.678 1
```

Uncorrected energy, eV/atom: -6.50
ΔE_f (raw), eV/atom: -1.4081

***

Record 4
TbPuCoNi: optimized geometry, PBE.

CIF file:
```
data_TbPuCoNi
_cell_length_a 6.704
_cell_length_b 6.704
_cell_length_c 6.704
_cell_angle_alpha 90.00
_cell_angle_beta 90.00
_cell_angle_gamma 90.00
_space_group_name_H-M_alt 'F -4 3 m'
_space_group_IT_number 216
_space_group_name_Hall 'F -4 2 3'
loop_
_atom_site_label
_atom_site_type_symbol
_atom_site_fract_x
_atom_site_fract_y
_atom_site_fract_z
_atom_site_occupancy
Tb1 Tb 0.000 0.000 0.000 1
Pu1 Pu 0.000 0.000 0.500 1
Co1 Co 0.250 0.250 0.250 1
Ni1 Ni 0.250 0.250 0.750 1
```

Uncorrected energy, eV/atom: -8.04